First-principles (PBE-GGA) data for a geometry-optimized Tb3SnC structure, as listed in the Open Quantum Materials Database.

```
data_Tb3SnC
_symmetry_space_group_name_H-M 'P 1'
_symmetry_Int_Tables_number 1
_symmetry_space_group_name_Hall 'P 1'
_cell_length_a 4.9162
_cell_length_b 4.9162
_cell_length_c 4.9162
_cell_angle_alpha 90.00
_cell_angle_beta 90.00
_cell_angle_gamma 90.00
loop_
_atom_site_label
_atom_site_type_symbol
_atom_site_fract_x
_atom_site_fract_y
_atom_site_fract_z
Tb1 Tb 0.0000 0.0000 0.5000
Tb2 Tb 0.0000 0.5000 0.0000
Tb3 Tb 0.5000 0.0000 0.0000
Sn1 Sn 0.5000 0.5000 0.5000
C1 C 0.0000 0.0000 0.0000
```

Computed properties:
As for the total energy: -6.038 eV/atom. The theoretical density is 8.49 g cm⁻³.

First-principles (PBE-GGA) data for a geometry-optimized Na2YIrO6 structure, as listed in the Open Quantum Materials Database.

```
data_Na2YIrO6
_symmetry_space_group_name_H-M 'P 1'
_symmetry_Int_Tables_number 1
_symmetry_space_group_name_Hall 'P 1'
_cell_length_a 5.7519
_cell_length_b 5.7519
_cell_length_c 5.7519
_cell_angle_alpha 60.00
_cell_angle_beta 60.00
_cell_angle_gamma 60.00
loop_
_atom_site_label
_atom_site_type_symbol
_atom_site_fract_x
_atom_site_fract_y
_atom_site_fract_z
Na1 Na 0.2500 0.2500 0.2500
Na2 Na 0.7500 0.7500 0.7500
Y1 Y 0.0000 0.0000 0.0000
Ir1 Ir 0.5000 0.5000 0.5000
O1 O 0.2679 0.2679 0.7321
O2 O 0.2679 0.7321 0.2679
O3 O 0.2679 0.7321 0.7321
O4 O 0.7321 0.2679 0.2679
O5 O 0.7321 0.2679 0.7321
O6 O 0.7321 0.7321 0.2679
```

Computed properties:
As for the total energy: -6.383 eV/atom. The theoretical density is 5.22 g cm⁻³.

First-principles (PBE-GGA) data for a geometry-optimized NbSiAsO structure, as listed in the Open Quantum Materials Database.

```
data_NbSiAsO
_symmetry_space_group_name_H-M 'P 1'
_symmetry_Int_Tables_number 1
_symmetry_space_group_name_Hall 'P 1'
_cell_length_a 3.3246
_cell_length_b 5.4093
_cell_length_c 7.0315
_cell_angle_alpha 90.00
_cell_angle_beta 90.00
_cell_angle_gamma 90.00
loop_
_atom_site_label
_atom_site_type_symbol
_atom_site_fract_x
_atom_site_fract_y
_atom_site_fract_z
Nb1 Nb 0.0000 0.2141 0.0000
Nb2 Nb 0.0000 0.7859 0.5000
Si1 Si 0.5000 0.1273 0.5939
Si2 Si 0.5000 0.8727 0.0939
As1 As 0.0000 0.2839 0.3714
As2 As 0.0000 0.7161 0.8714
O1 O 0.5000 0.2719 0.8014
O2 O 0.5000 0.7281 0.3014
```

Computed properties:
As for the total energy: -7.049 eV/atom. The theoretical density is 5.57 g cm⁻³.

First-principles (PBE-GGA) data for a geometry-optimized La3GdC2Br2 structure, as listed in the Open Quantum Materials Database.

```
data_La3GdC2Br2
_symmetry_space_group_name_H-M 'P 1'
_symmetry_Int_Tables_number 1
_symmetry_space_group_name_Hall 'P 1'
_cell_length_a 3.8237
_cell_length_b 3.8237
_cell_length_c 15.2253
_cell_angle_alpha 90.00
_cell_angle_beta 90.00
_cell_angle_gamma 120.00
loop_
_atom_site_label
_atom_site_type_symbol
_atom_site_fract_x
_atom_site_fract_y
_atom_site_fract_z
La1 La 0.0000 0.0000 0.0000
La2 La 0.0000 0.0000 0.3212
La3 La 0.6667 0.3333 0.5087
Gd1 Gd 0.6667 0.3333 0.8206
C1 C 0.3333 0.6667 0.4152
C2 C 0.3333 0.6667 0.9019
Br1 Br 0.0000 0.0000 0.6754
Br2 Br 0.6667 0.3333 0.1592
```

Computed properties:
As for the total energy: -6.068 eV/atom. The theoretical density is 6.53 g cm⁻³.

First-principles (PBE-GGA) data for a geometry-optimized Er3Al3Ni2Ge structure, as listed in the Open Quantum Materials Database.

```
data_Er3Al3Ni2Ge
_symmetry_space_group_name_H-M 'P 1'
_symmetry_Int_Tables_number 1
_symmetry_space_group_name_Hall 'P 1'
_cell_length_a 7.1967
_cell_length_b 7.1967
_cell_length_c 3.7870
_cell_angle_alpha 90.00
_cell_angle_beta 90.00
_cell_angle_gamma 120.00
loop_
_atom_site_label
_atom_site_type_symbol
_atom_site_fract_x
_atom_site_fract_y
_atom_site_fract_z
Er1 Er 0.0000 0.5949 0.0000
Er2 Er 0.4051 0.4051 0.0000
Er3 Er 0.5949 0.0000 0.0000
Al1 Al 0.0000 0.2681 0.5000
Al2 Al 0.2681 0.0000 0.5000
Al3 Al 0.7319 0.7319 0.5000
Ni1 Ni 0.3333 0.6667 0.5000
Ni2 Ni 0.6667 0.3333 0.5000
Ge1 Ge 0.0000 0.0000 0.0000
```

Computed properties:
As for the total energy: -5.083 eV/atom. The theoretical density is 7.55 g cm⁻³.

First-principles (PBE-GGA) data for a geometry-optimized PuMgMo structure, as listed in the Open Quantum Materials Database.

```
data_PuMgMo
_symmetry_space_group_name_H-M 'P 1'
_symmetry_Int_Tables_number 1
_symmetry_space_group_name_Hall 'P 1'
_cell_length_a 4.5424
_cell_length_b 4.5424
_cell_length_c 4.5424
_cell_angle_alpha 60.00
_cell_angle_beta 60.00
_cell_angle_gamma 60.00
loop_
_atom_site_label
_atom_site_type_symbol
_atom_site_fract_x
_atom_site_fract_y
_atom_site_fract_z
Pu1 Pu 0.0000 0.0000 0.0000
Mg1 Mg 0.7500 0.7500 0.7500
Mo1 Mo 0.2500 0.2500 0.2500
```

Computed properties:
As for the total energy: -7.547 eV/atom. The theoretical density is 9.13 g cm⁻³.